# 1
K3SrV4O12 (PBE+U, relaxed); D(E_F) = 0.4175 states/eV/atom
1.0
6.154 3.553 3.086
-6.154 3.553 3.086
0.000 -7.106 3.086
K Sr V O
3 1 4 12
Direct
0.000 0.517 0.483
0.483 0.000 0.517
0.517 0.483 0.000
0.000 0.000 0.000
0.016 0.500 0.984
0.500 0.500 0.500
0.500 0.984 0.016
0.984 0.016 0.500
0.014 0.653 0.858
0.119 0.881 0.500
0.142 0.347 0.986
0.347 0.986 0.142
0.364 0.636 0.500
0.500 0.119 0.881
0.500 0.364 0.636
0.636 0.500 0.364
0.653 0.858 0.014
0.858 0.014 0.653
0.881 0.500 0.119
0.986 0.142 0.347

=====

# 2
KSrVO4 (PBE+U, relaxed); D(E_F) = 0.0000 states/eV/atom
1.0
6.167 0.000 0.000
0.000 6.005 0.000
-1.745 0.000 7.208
K Sr V O
2 2 2 8
Direct
0.189 0.250 0.413
0.811 0.750 0.587
0.286 0.250 0.942
0.714 0.750 0.058
0.246 0.750 0.176
0.754 0.250 0.824
0.062 0.750 0.323
0.081 0.750 0.952
0.425 0.520 0.201
0.425 0.980 0.201
0.575 0.020 0.799
0.575 0.480 0.799
0.919 0.250 0.048
0.938 0.250 0.677

=====

# 3
KSrVO4 (PBE+U, relaxed); D(E_F) = 0.0000 states/eV/atom
1.0
5.938 0.000 0.000
0.000 7.561 0.000
0.000 0.000 10.087
K Sr V O
4 4 4 16
Direct
0.019 0.089 0.424
0.481 0.911 0.924
0.519 0.411 0.576
0.981 0.589 0.076
0.020 0.248 0.801
0.480 0.752 0.301
0.520 0.252 0.199
0.980 0.748 0.699
0.018 0.526 0.415
0.482 0.474 0.915
0.518 0.974 0.585
0.982 0.026 0.085
0.007 0.426 0.571
0.075 0.748 0.440
0.234 0.990 0.171
0.246 0.445 0.325
0.254 0.555 0.825
0.266 0.010 0.671
0.425 0.252 0.940
0.493 0.574 0.071
0.507 0.074 0.429
0.575 0.752 0.560
0.734 0.510 0.829
0.746 0.055 0.675
0.754 0.945 0.175
0.766 0.490 0.329
0.925 0.248 0.060
0.993 0.926 0.929

=====

# 4
K2SrV4O12 (PBE+U, relaxed); D(E_F) = 0.0000 states/eV/atom
1.0
11.094 0.000 0.000
0.000 11.094 0.000
0.000 0.000 5.439
K Sr V O
4 2 8 24
Direct
0.000 0.000 0.000
0.000 0.500 0.000
0.500 0.000 0.000
0.500 0.500 0.000
0.250 0.250 0.000
0.750 0.750 0.000
0.030 0.750 0.500
0.250 0.530 0.500
0.250 0.970 0.500
0.470 0.750 0.500
0.530 0.250 0.500
0.750 0.030 0.500
0.750 0.470 0.500
0.970 0.250 0.500
0.055 0.205 0.262
0.055 0.295 0.738
0.126 0.626 0.602
0.126 0.874 0.398
0.205 0.055 0.738
0.205 0.445 0.262
0.295 0.055 0.262
0.295 0.445 0.738
0.374 0.626 0.398
0.374 0.874 0.602
0.445 0.205 0.738
0.445 0.295 0.262
0.555 0.705 0.738
0.555 0.795 0.262
0.626 0.126 0.398
0.626 0.374 0.602
0.705 0.555 0.262
0.705 0.945 0.738
0.795 0.555 0.738
0.795 0.945 0.262
0.874 0.126 0.602
0.874 0.374 0.398
0.945 0.705 0.262
0.945 0.795 0.738

=====

# 5
K3SrV2O8 (PBE+U, relaxed); D(E_F) = 0.8991 states/eV/atom
1.0
6.188 0.000 0.000
-3.094 5.359 0.000
0.000 0.000 7.885
K Sr V O
3 1 2 8
Direct
0.000 0.000 0.000
0.333 0.667 0.683
0.667 0.333 0.317
0.000 0.000 0.500
0.333 0.667 0.228
0.667 0.333 0.772
0.180 0.361 0.305
0.180 0.820 0.305
0.333 0.667 0.010
0.361 0.180 0.695
0.639 0.820 0.305
0.667 0.333 0.990
0.820 0.180 0.695
0.820 0.639 0.695

=====

# 6
K2SrVO4 (PBE+U, relaxed); D(E_F) = 0.2554 states/eV/atom
1.0
0.000 6.347 11.449
3.126 0.000 11.449
3.126 6.347 0.000
K Sr V O
4 2 2 8
Direct
0.070 0.070 0.680
0.320 0.320 0.930
0.680 0.680 0.070
0.930 0.930 0.320
0.125 0.125 0.125
0.875 0.875 0.875
0.375 0.375 0.375
0.625 0.625 0.625
0.077 0.596 0.508
0.319 0.508 0.596
0.404 0.923 0.681
0.492 0.681 0.923
0.508 0.319 0.077
0.596 0.077 0.319
0.681 0.492 0.404
0.923 0.404 0.492

=====

# 7
KSrV2O6 (PBE+U, relaxed); D(E_F) = 0.1811 states/eV/atom
1.0
5.524 -5.325 0.000
5.524 5.325 0.000
-1.478 0.000 5.825
K Sr V O
2 2 4 12
Direct
0.178 0.822 0.750
0.822 0.178 0.250
0.394 0.606 0.250
0.606 0.394 0.750
0.131 0.302 0.765
0.302 0.131 0.265
0.698 0.869 0.735
0.869 0.698 0.235
0.085 0.630 0.304
0.152 0.178 0.006
0.178 0.152 0.506
0.289 0.468 0.840
0.370 0.915 0.196
0.468 0.289 0.340
0.532 0.711 0.660
0.630 0.085 0.804
0.711 0.532 0.160
0.822 0.848 0.494
0.848 0.822 0.994
0.915 0.370 0.696

=====

# 8
K2SrWO4 (PBE+U, relaxed); D(E_F) = 0.0000 states/eV/atom
1.0
-3.172 3.172 3.757
3.172 -3.172 3.757
3.172 3.172 -3.757
K Sr W O
2 1 1 4
Direct
0.000 0.000 0.000
0.750 0.250 0.500
0.250 0.750 0.500
0.500 0.500 0.000
0.289 0.210 0.584
0.295 0.711 0.921
0.626 0.705 0.416
0.790 0.374 0.079

=====

# 9
KSrW2O8 (PBE+U, relaxed); D(E_F) = 0.9854 states/eV/atom
1.0
-3.979 3.979 3.572
3.979 -3.979 3.572
3.979 3.979 -3.572
K Sr W O
1 1 2 8
Direct
0.000 0.000 0.000
0.250 0.750 0.500
0.500 0.500 0.000
0.750 0.250 0.500
0.353 0.166 0.813
0.353 0.540 0.187
0.413 0.091 0.322
0.460 0.647 0.813
0.769 0.091 0.678
0.834 0.647 0.187
0.909 0.231 0.322
0.909 0.587 0.678

=====

# 10
K4SrW3O12 (PBE+U, relaxed); D(E_F) = 0.0000 states/eV/atom
1.0
-4.163 4.163 4.163
4.163 -4.163 4.163
4.163 4.163 -4.163
K Sr W O
4 1 3 12
Direct
0.000 0.000 0.500
0.000 0.500 0.000
0.500 0.000 0.000
0.500 0.500 0.500
0.000 0.000 0.000
0.000 0.500 0.500
0.500 0.000 0.500
0.500 0.500 0.000
0.000 0.279 0.279
0.000 0.721 0.721
0.250 0.500 0.750
0.250 0.750 0.500
0.279 0.000 0.279
0.279 0.279 0.000
0.500 0.250 0.750
0.500 0.750 0.250
0.721 0.000 0.721
0.721 0.721 0.000
0.750 0.250 0.500
0.750 0.500 0.250

=====

# 11
KSr2WO5 (PBE+U, relaxed); D(E_F) = 0.0000 states/eV/atom
1.0
-2.040 3.133 5.740
2.040 -3.133 5.740
2.040 3.133 -5.740
K Sr W O
1 2 1 5
Direct
0.000 0.000 0.000
0.278 0.778 0.500
0.722 0.222 0.500
0.500 0.500 0.000
0.151 0.373 0.779
0.406 0.627 0.779
0.500 0.000 0.500
0.594 0.373 0.221
0.849 0.627 0.221

=====

# 12
KSrYWO6 (PBE+U, relaxed); D(E_F) = 0.0000 states/eV/atom
1.0
0.000 4.194 4.194
4.194 0.000 4.194
4.194 4.194 0.000
K Sr Y W O
1 1 1 1 6
Direct
0.000 0.000 0.000
0.500 0.500 0.500
0.750 0.750 0.750
0.250 0.250 0.250
0.017 0.017 0.483
0.017 0.483 0.017
0.017 0.483 0.483
0.483 0.017 0.017
0.483 0.017 0.483
0.483 0.483 0.017

=====

no.,magnetic moment (μB per formula unit),energy (eV per formula unit)
1,1.000,-127.22
2,0.000,-46.42
3,0.000,-46.81
4,0.000,-133.57
5,1.098,-88.10
6,0.000,-45.05
7,1.000,-69.50
8,0.048,-47.02
9,1.122,-81.03
10,0.000,-128.47
11,1.000,-58.09
12,0.000,-72.76